1.
The following is a DFT calculation (PBEsol) of CsNa2Ge17 after structural relaxation.

Values from the calculation:
- DFT formation energy: -0.094 eV/atom
- Calculated total energy: -0.165 hartree per atom

a b c (Å): 10.9604 10.9604 10.9604
angles (deg): 60.00 60.00 60.00
Last column: nearest neighbours and their distance in Å.
Fractional positions:
Ge 0.3600 0.7546 0.7546  4 Ge 2.49-2.51
Ge 0.7546 0.3600 0.1309  4 Ge 2.49-2.51
Ge 0.1309 0.7546 0.7546  4 Ge 2.49-2.51
Ge 0.3427 0.9718 0.3427  4 Ge 2.49
Ge 0.7546 0.3600 0.7546  4 Ge 2.49-2.51
Ge 0.3427 0.3427 0.3427  4 Ge 2.49
Ge 0.1309 0.3600 0.7546  4 Ge 2.49-2.51
Ge 0.1191 0.4954 0.8900  4 Ge 2.49-2.51
Ge 0.4954 0.4954 0.8900  4 Ge 2.49-2.51
Ge 0.9073 0.2782 0.9073  4 Ge 2.49
Ge 0.0000 0.0000 0.0000  4 Ge 2.49
Ge 0.3427 0.3427 0.9718  4 Ge 2.49
Ge 0.4954 0.4954 0.1191  4 Ge 2.49-2.51
Ge 0.9073 0.9073 0.9073  4 Ge 2.49
Ge 0.7546 0.7546 0.1309  4 Ge 2.49-2.51
Ge 0.9718 0.3427 0.3427  4 Ge 2.49
Ge 0.4954 0.8900 0.4954  4 Ge 2.49-2.51
Ge 0.8900 0.4954 0.1191  4 Ge 2.49-2.51
Ge 0.1191 0.4954 0.4954  4 Ge 2.49-2.51
Ge 0.4954 0.1191 0.8900  4 Ge 2.49-2.51
Ge 0.3600 0.7546 0.1309  4 Ge 2.49-2.51
Ge 0.3600 0.1309 0.7546  4 Ge 2.49-2.51
Ge 0.1309 0.7546 0.3600  4 Ge 2.49-2.51
Ge 0.7546 0.7546 0.3600  4 Ge 2.49-2.51
Ge 0.2782 0.9073 0.9073  4 Ge 2.49
Ge 0.7546 0.1309 0.3600  4 Ge 2.49-2.51
Ge 0.4954 0.8900 0.1191  4 Ge 2.49-2.51
Ge 0.8900 0.1191 0.4954  4 Ge 2.49-2.51
Ge 0.2500 0.2500 0.2500  4 Ge 2.49
Ge 0.8900 0.4954 0.4954  4 Ge 2.49-2.51
Ge 0.7546 0.1309 0.7546  4 Ge 2.49-2.51
Ge 0.1191 0.8900 0.4954  4 Ge 2.49-2.51
Ge 0.9073 0.9073 0.2782  4 Ge 2.49
Ge 0.4954 0.1191 0.4954  4 Ge 2.49-2.51
Cs 0.5000 0.5000 0.5000  28 Ge 4.14-4.23
Cs 0.7500 0.7500 0.7500  28 Ge 4.14-4.23
Na 0.1250 0.1250 0.6250  20 Ge 3.36-3.55
Na 0.6250 0.1250 0.1250  20 Ge 3.36-3.55
Na 0.1250 0.1250 0.1250  20 Ge 3.36-3.55
Na 0.1250 0.6250 0.1250  20 Ge 3.36-3.55

2.
The following is a DFT calculation (PBEsol) of Tc2IrW after structural relaxation.

Values from the calculation:
- DFT formation energy: -0.135 eV/atom
- Calculated total energy: -0.429 hartree per atom

a b c (Å): 3.8567 3.8567 3.8663
angles (deg): 90.00 90.00 90.00
Last column: nearest neighbours and their distance in Å.
Fractional positions:
Tc 0.0000 0.5000 0.0000  4 Tc 2.73, 4 W 2.73, 4 Ir 2.73
Tc 0.5000 0.0000 0.0000  4 Tc 2.73, 4 Ir 2.73, 4 W 2.73
Ir 0.0000 0.0000 0.5000  4 W 2.73, 8 Tc 2.73
W 0.5000 0.5000 0.5000  4 Ir 2.73, 8 Tc 2.73

3.
The following is a DFT calculation (PBEsol) of Fe4CoAs after structural relaxation.

Values from the calculation:
- DFT formation energy: 0.286 eV/atom
- Calculated total energy: -0.288 hartree per atom

a b c (Å): 4.6288 4.6288 4.6288
angles (deg): 60.00 60.00 60.00
Last column: nearest neighbours and their distance in Å.
Fractional positions:
Fe 0.1248 0.6251 0.6251  6 Fe 2.31-2.32
Fe 0.6251 0.6251 0.1248  6 Fe 2.31-2.32
Fe 0.6251 0.1248 0.6251  6 Fe 2.31-2.32
Fe 0.6251 0.6251 0.6251  6 Fe 2.31-2.32
As 0.2500 0.2500 0.2500  12 Fe 2.71, 4 Co 2.83
Co 0.0000 0.0000 0.0000  12 Fe 2.71, 4 As 2.83

4.
The following is a DFT calculation (PBEsol) of Na2LaAsW after structural relaxation.

Values from the calculation:
- DFT formation energy: 1.294 eV/atom
- Calculated total energy: -0.151 hartree per atom

a b c (Å): 5.1831 5.4143 5.4143
angles (deg): 90.00 90.00 90.00
Last column: nearest neighbours and their distance in Å.
Fractional positions:
W 0.0000 0.0000 0.0000  2 La 2.59, 4 Na 2.71
Na 0.0000 0.0000 0.5000  2 W 2.71
Na 0.0000 0.5000 0.0000  2 W 2.71
La 0.5000 0.0000 0.0000  2 W 2.59
As 0.5000 0.5000 0.5000  8 Na 3.75, 4 La 3.83